# AcGdZnSi

A relaxed structure of AcGdZnSi (GGA-PBE, the Alexandria database).

```
data_AcGdZnSi
_chemical_formula_sum 'Ac4 Gd4 Zn4 Si4'
_symmetry_space_group_name_H-M 'F -4 3 m'
_symmetry_Int_Tables_number 216
_symmetry_space_group_name_Hall 'F -4 2 3'
_cell_length_a 7.441
_cell_length_b 7.441
_cell_length_c 7.441
_cell_angle_alpha 90.00
_cell_angle_beta 90.00
_cell_angle_gamma 90.00
loop_
_atom_site_label
_atom_site_fract_x
_atom_site_fract_y
_atom_site_fract_z
_atom_site_occupancy
Ac1 0.000 0.000 0.000 1
Gd1 0.000 0.000 0.500 1
Zn1 0.250 0.250 0.250 1
Si1 0.250 0.250 0.750 1
```

Formation energy without anion corrections in eV per atom: -0.353
VASP energy in eV/atom: -6.575